(1)
Material: AcCePmPr
Method: DFT, PBE
State: relaxed

The structure belongs to space group F-43m (No. 216); the cell edges are 8.405, 8.405 and 8.405 Å and the angles 90.00°, 90.00° and 90.00°. The inequivalent atoms are Ac at (0.000, 0.000, 0.000), Ce at (0.000, 0.000, 0.500), Pm at (0.250, 0.250, 0.750) and Pr at (0.250, 0.250, 0.250).

The value obtained for the formation energy is 21.68 kJ/mol of atoms. As for the crystal system: cubic.

***

(2)
Material: Ac2CePmS4
Method: DFT, PBE
State: relaxed

The structure belongs to space group P2/m (No. 10); the cell edges are 7.207, 4.146 and 7.269 Å and the angles 90.00°, 109.22° and 90.00°. The inequivalent atoms are Ac at (0.000, 0.000, 0.000), Ac at (0.500, 0.500, 0.000), Ce at (0.000, 0.500, 0.500), Pm at (0.500, 0.000, 0.500), S at (0.244, 0.000, 0.731) and S at (0.256, 0.500, 0.269).

The value obtained for the calculated total energy is -6.4369 eV per atom. As for the crystal system: monoclinic.

***

(3)
Material: Ac2Ce3PmSb6
Method: DFT, PBE
State: relaxed

The structure belongs to space group C2/m (No. 12); the cell edges are 7.976, 13.812 and 7.978 Å and the angles 90.00°, 109.50° and 90.00°. The inequivalent atoms are Ac at (0.000, 0.166, 0.000), Ce at (0.000, 0.000, 0.500), Ce at (0.000, 0.330, 0.500), Pm at (0.000, 0.500, 0.000), Sb at (0.235, 0.500, 0.736) and Sb at (0.249, 0.338, 0.261).

The value obtained for the calculated total energy is -5.7355 eV per atom. As for the crystal system: monoclinic.

***

(4)
Material: AcCe2PmSb4
Method: DFT, PBE
State: relaxed

The structure belongs to space group P2/m (No. 10); the cell edges are 7.928, 4.577 and 7.936 Å and the angles 90.00°, 109.44° and 90.00°. The inequivalent atoms are Ac at (0.000, 0.000, 0.000), Ce at (0.500, 0.000, 0.500), Ce at (0.500, 0.500, 0.000), Pm at (0.000, 0.500, 0.500), Sb at (0.256, 0.000, 0.744) and Sb at (0.263, 0.500, 0.262).

The value obtained for the calculated total energy is -5.7594 eV per atom. As for the crystal system: monoclinic.

***

(5)
Material: AcCePm2Sb4
Method: DFT, PBE
State: relaxed

The structure belongs to space group P2/m (No. 10); the cell edges are 7.925, 4.578 and 7.930 Å and the angles 90.00°, 109.42° and 90.00°. The inequivalent atoms are Ac at (0.000, 0.000, 0.000), Ce at (0.000, 0.500, 0.500), Pm at (0.500, 0.000, 0.500), Pm at (0.500, 0.500, 0.000), Sb at (0.255, 0.000, 0.744) and Sb at (0.260, 0.500, 0.262).

The value obtained for the calculated total energy is -5.6471 eV per atom. As for the crystal system: monoclinic.

***

(6)
Material: Ac3CePm3Se8
Method: DFT, PBE
State: relaxed

The structure belongs to space group R-3m (No. 166, hexagonal axes); the cell edges are 8.5554, 8.5554 and 21.5042 Å and the angles 90.00°, 90.00° and 120.00°. The inequivalent atoms are Ac at (0.0000, 0.5000, 0.0000), Ce at (0.0000, 0.0000, 0.5000), Pm at (0.0000, 0.5000, 0.5000), Se at (0.0000, 0.0000, 0.2443) and Se at (0.0055, 0.5028, 0.7545).

The value obtained for the calculated total energy is -5.8917 eV per atom. As for the crystal system: trigonal.